BaPuCu2I8 | PBE-GGA | relaxed

Output
* V: 474.8 Å³/f.u.
* size of the total moment: 0.32 μB per atom
* uncorrected energy: -3.855 eV per atom
* DOS(E_F): 14.1 states/eV/f.u.

Unit cell a=7.2732 b=7.2732 c=10.3646 alpha=90.00 beta=90.00 gamma=120.00
Atoms (fractional coordinates):
Ba: 0.0000 0.0000 0.0000
Pu: 0.0000 0.0000 0.5000
Cu: 0.6667 0.3333 0.2443
Cu: 0.3333 0.6667 0.7557
I: 0.3333 0.6667 0.0024
I: 0.3192 0.3277 0.3142
I: 0.6723 0.9915 0.3142
I: 0.6667 0.3333 0.9976
I: 0.3277 0.0085 0.6858
I: 0.6808 0.6723 0.6858
I: 0.9915 0.3192 0.6858
I: 0.0085 0.6808 0.3142